The following is a DFT calculation (GGA-PBE) of FeCo2Hg after structural relaxation.

Geometry as extended XYZ:
```
4
Lattice="4.429 0.000 0.000 0.000 2.855 0.000 -1.379 0.000 4.367" Properties=species:S:1:pos:R:3 pbc="T T T"
Fe 0.000 0.000 0.000
Co 1.525 0.000 2.183
Co 2.214 1.428 0.000
Hg -0.689 1.428 2.183
```

Calculated values
SG	P2/m
DFT formation energy	420	meV/atom